[1]
Entry from the Alexandria database: crystalline Cu2PRu at its relaxed geometry (PBE).

a b c (Å): 2.827 4.099 4.648
angles (deg): 90.00 107.10 90.00
Element x y z (fractional)
Cu: 0.128 0.000 0.267
Cu: 0.872 0.000 0.733
P: 0.000 0.500 0.500
Ru: 0.500 0.500 0.000

Output
Symmetry = No. 10

***

[2]
Entry from the Alexandria database: crystalline BaScOs2 at its relaxed geometry (PBE).

a b c (Å): 5.254 3.130 5.571
angles (deg): 90.00 117.97 90.00
Element x y z (fractional)
Ba: 0.000 0.000 0.000
Sc: 0.500 0.500 0.500
Os: 0.000 0.000 0.500
Os: 0.500 0.500 0.000

Output
Symmetry = No. 10

***

[3]
Entry from the Alexandria database: crystalline Ti3InPd3 at its relaxed geometry (PBE).

a b c (Å): 6.377 6.377 6.377
angles (deg): 73.36 73.36 73.36
Element x y z (fractional)
Ti: 0.181 0.445 0.625
Ti: 0.375 0.819 0.555
Ti: 0.445 0.625 0.181
Ti: 0.555 0.375 0.819
Ti: 0.625 0.181 0.445
Ti: 0.819 0.555 0.375
In: 0.243 0.243 0.243
In: 0.757 0.757 0.757
Pd: 0.038 0.880 0.323
Pd: 0.120 0.677 0.962
Pd: 0.323 0.038 0.880
Pd: 0.677 0.962 0.120
Pd: 0.880 0.323 0.038
Pd: 0.962 0.120 0.677

Output
Symmetry = No. 148

***

Calculated formation energy values, unit eV/atom, following the record order: 0.09; 1.06; -0.41.